[1]
Material: ZrTlBr3
Method: DFT, PBE
State: optimized geometry

The space group is Pm-3m (No. 221) and the conventional cell measures 5.4156, 5.4156 and 5.4156 Å, with angles of 90.00, 90.00 and 90.00 degrees. The asymmetric unit holds Zr at (0.0000, 0.0000, 0.0000), Tl at (0.5000, 0.5000, 0.5000) and Br at (0.0000, 0.0000, 0.5000).

The crystal system is cubic. The electronic total energy is -19.9 eV/cell.

---

[2]
Material: ZrTlBr4
Method: DFT, PBE
State: optimized geometry

The space group is F-43m (No. 216) and the conventional cell measures 8.9584, 8.9584 and 8.9584 Å, with angles of 90.00, 90.00 and 90.00 degrees. The asymmetric unit holds Zr at (0.0000, 0.0000, 0.0000), Tl at (0.2500, 0.2500, 0.2500) and Br at (0.1260, 0.1260, 0.6260).

The crystal system is cubic. The electronic total energy is -60.9 eV/cell.

---

[3]
Material: TmBr4
Method: DFT, PBE
State: optimized geometry

The space group is Pm-3m (No. 221) and the conventional cell measures 5.5247, 5.5247 and 5.5247 Å, with angles of 90.00, 90.00 and 90.00 degrees. The asymmetric unit holds Tm at (0.0000, 0.0000, 0.0000), Br at (0.0000, 0.0000, 0.5000) and Br at (0.5000, 0.5000, 0.5000).

The crystal system is cubic. The electronic total energy is -16.9 eV/cell.

---

[4]
Material: TmUBr6
Method: DFT, PBE
State: optimized geometry

The space group is R-3 (No. 148, hexagonal axes) and the conventional cell measures 7.1506, 7.1506 and 19.5283 Å, with angles of 90.00, 90.00 and 120.00 degrees. The asymmetric unit holds Tm at (0.0000, 0.0000, 0.0000), U at (0.0000, 0.0000, 0.5000) and Br at (0.0074, 0.3230, 0.0812).

The crystal system is trigonal. The electronic total energy is -113.8 eV/cell.

---

[5]
Material: YTmBr6
Method: DFT, PBE
State: optimized geometry

The space group is C2/m (No. 12) and the conventional cell measures 6.9085, 13.3890 and 6.9076 Å, with angles of 90.00, 107.36 and 90.00 degrees. The asymmetric unit holds Y at (0.0000, 0.0000, 0.0000), Tm at (0.0000, 0.5000, 0.5000), Br at (0.2462, 0.3569, 0.7468) and Br at (0.2483, 0.5000, 0.2520).

The crystal system is monoclinic. The electronic total energy is -71.3 eV/cell.

---

[6]
Material: YTmBr
Method: DFT, PBE
State: optimized geometry

The space group is P3m1 (No. 156) and the conventional cell measures 3.7037, 3.7037 and 7.1980 Å, with angles of 90.00, 90.00 and 120.00 degrees. The asymmetric unit holds Y at (0.0000, 0.0000, 0.0000), Tm at (0.6667, 0.3333, 0.3621) and Br at (0.3333, 0.6667, 0.6804).

The crystal system is trigonal. The electronic total energy is -14.8 eV/cell.

---

[7]
Material: Y2TmBr
Method: DFT, PBE
State: optimized geometry

The space group is R-3m (No. 166, hexagonal axes) and the conventional cell measures 3.6453, 3.6453 and 30.5050 Å, with angles of 90.00, 90.00 and 120.00 degrees. The asymmetric unit holds Y at (0.0000, 0.0000, 0.2428), Tm at (0.0000, 0.0000, 0.0000) and Br at (0.0000, 0.0000, 0.5000).

The crystal system is trigonal. The electronic total energy is -63.5 eV/cell.

---

[8]
Material: YTmBr
Method: DFT, PBE
State: optimized geometry

The space group is R-3m (No. 166, hexagonal axes) and the conventional cell measures 3.6904, 3.6904 and 48.9361 Å, with angles of 90.00, 90.00 and 120.00 degrees. The asymmetric unit holds Y at (0.0000, 0.0000, 0.0864), Tm at (0.0000, 0.0000, 0.3620) and Br at (0.0000, 0.0000, 0.2066).

The crystal system is trigonal. The electronic total energy is -89.7 eV/cell.

---

[9]
Material: YTmBr3
Method: DFT, PBE
State: optimized geometry

The space group is C2/m (No. 12) and the conventional cell measures 19.2183, 3.8741 and 10.5100 Å, with angles of 90.00, 110.76 and 90.00 degrees. The asymmetric unit holds Y at (0.0747, 0.0000, 0.4597), Tm at (0.0810, 0.5000, 0.7528), Br at (0.0643, 0.5000, 0.2429), Br at (0.1428, 0.0000, 0.9546) and Br at (0.1867, 0.5000, 0.6236).

The crystal system is monoclinic. The electronic total energy is -93.5 eV/cell.

---

[10]
Material: YTmBr6
Method: DFT, PBE
State: optimized geometry

The space group is R-3 (No. 148, hexagonal axes) and the conventional cell measures 7.0209, 7.0209 and 19.0883 Å, with angles of 90.00, 90.00 and 120.00 degrees. The asymmetric unit holds Y at (0.0000, 0.0000, 0.0000), Tm at (0.0000, 0.0000, 0.5000) and Br at (0.0033, 0.3453, 0.2494).

The crystal system is trigonal. The electronic total energy is -106.4 eV/cell.

---

[11]
Material: U2Br13
Method: DFT, PBE
State: optimized geometry

The space group is P-1 (No. 2) and the conventional cell measures 8.2423, 8.7799 and 10.6378 Å, with angles of 76.07, 76.67 and 74.41 degrees. The asymmetric unit holds U at (0.1547, 0.1337, 0.2430), Br at (0.0000, 0.0000, 0.5000), Br at (0.1497, 0.3886, 0.3333), Br at (0.1496, 0.8723, 0.1651), Br at (0.1577, 0.7330, 0.8121), Br at (0.2948, 0.2566, 0.0056), Br at (0.4006, 0.5607, 0.5826) and Br at (0.4557, 0.9943, 0.3092).

The crystal system is triclinic. The electronic total energy is -59.0 eV/cell.

---

[12]
Material: UBr
Method: DFT, PBE
State: optimized geometry

The space group is P-6m2 (No. 187) and the conventional cell measures 3.4119, 3.4119 and 4.7351 Å, with angles of 90.00, 90.00 and 120.00 degrees. The asymmetric unit holds U at (0.0000, 0.0000, 0.0000) and Br at (0.3333, 0.6667, 0.5000).

The crystal system is hexagonal. The electronic total energy is -13.5 eV/cell.

---

[13]
Material: UBr5
Method: DFT, PBE
State: optimized geometry

The space group is I4/m (No. 87) and the conventional cell measures 9.6641, 9.6641 and 5.6820 Å, with angles of 90.00, 90.00 and 90.00 degrees. The asymmetric unit holds U at (0.0000, 0.0000, 0.0000), Br at (0.0000, 0.0000, 0.5000) and Br at (0.0639, 0.7341, 0.0000).

The crystal system is tetragonal. The electronic total energy is -53.5 eV/cell.

---

[14]
Material: UBr5
Method: DFT, PBE
State: optimized geometry

The space group is P-1 (No. 2) and the conventional cell measures 7.3993, 7.9714 and 10.8547 Å, with angles of 108.64, 90.47 and 116.53 degrees. The asymmetric unit holds U at (0.0996, 0.2050, 0.2072), Br at (0.0688, 0.8209, 0.5825), Br at (0.1062, 0.6219, 0.8486), Br at (0.2341, 0.1786, 0.9564), Br at (0.2962, 0.0141, 0.2453) and Br at (0.4261, 0.5572, 0.3247).

The crystal system is triclinic. The electronic total energy is -53.8 eV/cell.

---

[15]
Material: UBr6
Method: DFT, PBE
State: optimized geometry

The space group is Pnma (No. 62) and the conventional cell measures 13.8187, 12.4113 and 7.1780 Å, with angles of 90.00, 90.00 and 90.00 degrees. The asymmetric unit holds U at (0.1300, 0.2500, 0.0962), Br at (0.0083, 0.2500, 0.8133), Br at (0.0261, 0.0996, 0.2617), Br at (0.2344, 0.0998, 0.9308) and Br at (0.2485, 0.7500, 0.8791).

The crystal system is orthorhombic. The electronic total energy is -116.2 eV/cell.

---

[16]
Material: U4Br
Method: DFT, PBE
State: optimized geometry

The space group is Pm-3m (No. 221) and the conventional cell measures 5.2581, 5.2581 and 5.2581 Å, with angles of 90.00, 90.00 and 90.00 degrees. The asymmetric unit holds U at (0.0000, 0.0000, 0.0000), U at (0.0000, 0.5000, 0.5000) and Br at (0.5000, 0.5000, 0.5000).

The crystal system is cubic. The electronic total energy is -41.3 eV/cell.

---

[17]
Material: UVBr6
Method: DFT, PBE
State: optimized geometry

The space group is C2/m (No. 12) and the conventional cell measures 6.6615, 13.4418 and 6.6603 Å, with angles of 90.00, 108.69 and 90.00 degrees. The asymmetric unit holds U at (0.0000, 0.0000, 0.0000), V at (0.0000, 0.5000, 0.5000), Br at (0.2325, 0.3589, 0.7333) and Br at (0.2433, 0.5000, 0.2582).

The crystal system is monoclinic. The electronic total energy is -78.5 eV/cell.

---

[18]
Material: ZrUBr
Method: DFT, PBE
State: optimized geometry

The space group is R-3m (No. 166, hexagonal axes) and the conventional cell measures 4.3602, 4.3602 and 31.4722 Å, with angles of 90.00, 90.00 and 120.00 degrees. The asymmetric unit holds Zr at (0.0000, 0.0000, 0.0631), U at (0.0000, 0.0000, 0.3285) and Br at (0.0000, 0.0000, 0.2208).

The crystal system is trigonal. The electronic total energy is -131.3 eV/cell.

---

[19]
Material: VBr
Method: DFT, PBE
State: optimized geometry

The space group is F222 (No. 22) and the conventional cell measures 3.6113, 4.9861 and 7.9802 Å, with angles of 90.00, 90.00 and 90.00 degrees. The asymmetric unit holds V at (0.0000, 0.0000, 0.0000) and Br at (0.2500, 0.2500, 0.7500).

The crystal system is orthorhombic. The electronic total energy is -39.9 eV/cell.

---

[20]
Material: VBr
Method: DFT, PBE
State: optimized geometry

The space group is P6_3/m (No. 176) and the conventional cell measures 9.5277, 9.5277 and 3.5235 Å, with angles of 90.00, 90.00 and 120.00 degrees. The asymmetric unit holds V at (0.1967, 0.5351, 0.2500) and Br at (0.0161, 0.6746, 0.2500).

The crystal system is hexagonal. The electronic total energy is -65.7 eV/cell.

---

[21]
Material: VBr4
Method: DFT, PBE
State: optimized geometry

The space group is I-42m (No. 121) and the conventional cell measures 6.2117, 6.2117 and 11.4786 Å, with angles of 90.00, 90.00 and 90.00 degrees. The asymmetric unit holds V at (0.0000, 0.0000, 0.0000) and Br at (0.2142, 0.2142, 0.8852).

The crystal system is tetragonal. The electronic total energy is -39.5 eV/cell.

---

[22]
Material: VBr6
Method: DFT, PBE
State: optimized geometry

The space group is Pnma (No. 62) and the conventional cell measures 10.8921, 10.5020 and 9.6063 Å, with angles of 90.00, 90.00 and 90.00 degrees. The asymmetric unit holds V at (0.1141, 0.2500, 0.0695), Br at (0.0016, 0.5914, 0.7757), Br at (0.0448, 0.7500, 0.0920), Br at (0.2309, 0.0824, 0.9795) and Br at (0.2432, 0.2500, 0.2919).

The crystal system is orthorhombic. The electronic total energy is -88.9 eV/cell.

---

[23]
Material: VBr
Method: DFT, PBE
State: optimized geometry

The space group is I4/m (No. 87) and the conventional cell measures 11.1068, 11.1068 and 3.1506 Å, with angles of 90.00, 90.00 and 90.00 degrees. The asymmetric unit holds V at (0.1884, 0.3023, 0.0000) and Br at (0.0182, 0.2379, 0.5000).

The crystal system is tetragonal. The electronic total energy is -85.9 eV/cell.

---

[24]
Material: VBr
Method: DFT, PBE
State: optimized geometry

The space group is P2_1/m (No. 11) and the conventional cell measures 3.5994, 3.2761 and 7.9750 Å, with angles of 90.00, 98.98 and 90.00 degrees. The asymmetric unit holds V at (0.2113, 0.2500, 0.4456) and Br at (0.1213, 0.2500, 0.7691).

The crystal system is monoclinic. The electronic total energy is -22.0 eV/cell.